A plane-wave DFT calculation with PBE-GGA was carried out for crystalline KRbAsAu at its relaxed geometry.

Calculated values
E_tot (Ry per atom): -0.2205
ρ (Mg/m³): 5.049

Cell: 6.5353 6.4501 6.4501 Å, 73.55 90.00 90.00°
Last column: nearest neighbours and their distance in Å.
Positions (direct):
Rb 0.2500 0.6755 0.9796  4 As 3.50-3.78, 1 K 3.57, 4 Au 3.63-3.91
As 0.7500 0.7473 0.2460  2 Au 2.53
Au 0.0000 0.5028 0.5028  2 As 2.53
As 0.2500 0.2460 0.7473  2 Au 2.53
K 0.7500 0.3255 0.0205  4 As 3.43-3.82, 1 Rb 3.57, 2 Au 3.60
Au 0.5000 0.5028 0.5028  2 As 2.53
K 0.2500 0.0205 0.3255  4 As 3.43-3.82, 1 Rb 3.57, 2 Au 3.60
Rb 0.7500 0.9796 0.6755  4 As 3.50-3.78, 1 K 3.57, 4 Au 3.63-3.91